HfSn2Te | PBE-GGA | optimized geometry

POSCAR file:
```
HfSn2Te
1.0
-3.340 3.340 6.919
3.340 -3.340 6.919
3.340 3.340 -6.919
Hf Sn Te
2 4 2
Direct
0.000 0.000 0.000 Hf
0.750 0.250 0.500 Hf
0.105 0.625 0.980 Sn
0.375 0.355 0.480 Sn
0.645 0.125 0.020 Sn
0.875 0.895 0.520 Sn
0.250 0.750 0.500 Te
0.500 0.500 0.000 Te
```

Output
**Energy relative to the elements, uncorrected**: 0.49 eV per atom
**DOS at the Fermi energy**: 2.82 states/eV/cell